# 1
Density functional theory data (PBE-GGA) for a relaxed structure of Cs2SrH2F6.

Fermi-level density of states, states/eV per cell: 0.000
Energy, Ha/atom: -0.165
Symmetry: C2/m (12)

a b c (Å): 6.3116 5.9849 7.4665
angles (deg): 117.59 90.00 121.82
Fractional positions:
H 0.8925 0.7849 0.7459
H 0.1075 0.2151 0.2541
F 0.2020 0.4040 0.2477
F 0.7547 0.9872 0.7252
F 0.7980 0.5960 0.7523
F 0.7675 0.0128 0.2748
F 0.2453 0.0128 0.2748
F 0.2325 0.9872 0.7252
Sr 0.5000 0.0000 0.5000
Cs 0.7236 0.4472 0.1723
Cs 0.2764 0.5528 0.8277

---

# 2
Density functional theory data (PBE-GGA) for a relaxed structure of Cs2TaHF6.

Fermi-level density of states, states/eV per cell: 0.190
Energy, Ha/atom: -0.194
Symmetry: I4/mmm (139)

a b c (Å): 6.6168 6.6168 6.7098
angles (deg): 60.46 60.46 90.00
Fractional positions:
H 0.5000 0.5000 0.0000
F 0.2112 0.2112 0.5776
F 0.7874 0.2126 0.0000
F 0.2126 0.7874 0.0000
F 0.2126 0.2126 0.0000
F 0.7888 0.7888 0.4224
F 0.7874 0.7874 0.0000
Cs 0.7500 0.2500 0.5000
Cs 0.2500 0.7500 0.5000
Ta 0.0000 0.0000 0.0000

---

# 3
Density functional theory data (PBE-GGA) for a relaxed structure of Cs2TaTiHF.

Fermi-level density of states, states/eV per cell: 3.584
Energy, Ha/atom: -0.171
Symmetry: P1 (1)

a b c (Å): 3.3459 7.2093 7.4041
angles (deg): 71.96 86.77 89.66
Fractional positions:
Ta 0.4001 0.4753 0.2668
Cs 0.2908 0.6437 0.6929
Cs 0.2671 0.0244 0.0094
H 0.9100 0.3690 0.1752
Ti 0.8475 0.2029 0.4365
F 0.7980 0.9986 0.6892

---

# 4
Density functional theory data (PBE-GGA) for a relaxed structure of Cs2TaTiHF.

Fermi-level density of states, states/eV per cell: 4.277
Energy, Ha/atom: -0.172
Symmetry: P1 (1)

a b c (Å): 3.3719 7.6406 7.6153
angles (deg): 68.43 78.03 78.36
Fractional positions:
Ti 0.8279 0.7907 0.5494
F 0.9532 0.7894 0.2861
Ta 0.3211 0.5620 0.7820
Cs 0.5924 0.4411 0.3289
Cs 0.5029 0.0160 0.9581
H 0.7436 0.6871 0.8254

---

# 5
Density functional theory data (PBE-GGA) for a relaxed structure of CsTcH3F.

Fermi-level density of states, states/eV per cell: 1.144
Energy, Ha/atom: -0.154
Symmetry: P1 (1)

a b c (Å): 3.1554 5.1975 5.6870
angles (deg): 86.72 89.88 72.62
Fractional positions:
H 0.9691 0.8589 0.7041
H 0.5581 0.6786 0.5874
H 0.6760 0.4345 0.8841
Cs 0.2518 0.2856 0.3614
F 0.9804 0.8320 0.1173
Tc 0.5154 0.7634 0.8604

---

# 6
Density functional theory data (PBE-GGA) for a relaxed structure of Cs2TcHF6.

Fermi-level density of states, states/eV per cell: 0.000
Energy, Ha/atom: -0.175
Symmetry: I4/mmm (139)

a b c (Å): 6.5939 6.5939 6.6003
angles (deg): 60.03 60.03 90.00
Fractional positions:
Tc 0.0000 0.0000 0.0000
F 0.2114 0.7886 0.0000
F 0.2110 0.2110 0.5779
F 0.7890 0.7890 0.4221
F 0.2114 0.2114 0.0000
F 0.7886 0.7886 0.0000
F 0.7886 0.2114 0.0000
Cs 0.7500 0.2500 0.5000
Cs 0.2500 0.7500 0.5000
H 0.5000 0.5000 0.0000